Material: BaCoO3
Method: DFT, PBE with a Hubbard U
State: optimized geometry

Geometry as extended XYZ:
```
10
Lattice="2.8013 -1.6173 -4.5260 -2.8013 -1.6173 -4.5260 0.0000 3.2346 -4.5260" Properties=species:S:1:pos:R:3 pbc="T T T"
O -1.3986 -0.8121 -5.6575
O -0.0040 1.6173 -5.6575
O 1.3986 0.8121 -7.9205
O -1.4026 0.8052 -7.9205
O 1.4026 -0.8052 -5.6575
O 0.0040 -1.6173 -7.9205
Co 0.0000 0.0000 -6.7890
Co 0.0000 0.0000 0.0000
Ba 0.0000 0.0000 -3.3945
Ba 0.0000 0.0000 -10.1835
```

Results
The space group is R-3m. Its final energy is -58.81 eV for the cell shown.